# GGA-PBE DyAlNi4, relaxed
# **Energy of formation**: -0.4683 eV/atom
# **Final energy**: -5.71 eV per atom
data_DyAlNi4
_chemical_formula_sum 'Dy1 Al1 Ni4'
_symmetry_space_group_name_H-M 'P 1'
_symmetry_Int_Tables_number 1
_symmetry_space_group_name_Hall 'P 1'
_cell_length_a 5.049
_cell_length_b 5.049
_cell_length_c 3.872
_cell_angle_alpha 90.00
_cell_angle_beta 90.00
_cell_angle_gamma 120.00
loop_
_atom_site_label
_atom_site_type_symbol
_atom_site_fract_x
_atom_site_fract_y
_atom_site_fract_z
Dy1 Dy 0.333 0.667 0.000
Al1 Al 0.667 0.333 0.000
Ni1 Ni 0.000 0.000 0.000
Ni2 Ni 0.329 0.165 0.500
Ni3 Ni 0.835 0.165 0.500
Ni4 Ni 0.835 0.671 0.500